Density functional theory data (GGA-PBEsol) for TaNb2Ge2 after structural relaxation.

Output
formation energy from the elements = -461 meV/atom
calculated volume = 16.389 Å³ per atom
total magnetic moment = 0.0 Bohr magnetons per cell

Unit cell a=3.5237 b=6.8198 c=6.8198 alpha=90.00 beta=90.00 gamma=90.00
Closest atoms and distances in Å follow each position.
Fractional positions:
Nb  0.5000  0.1678  0.6678  6 Ge 2.60-2.72
Nb  0.5000  0.6678  0.8322  6 Ge 2.60-2.72
Nb  0.5000  0.8322  0.3322  6 Ge 2.60-2.72
Nb  0.5000  0.3322  0.1678  6 Ge 2.60-2.72
Ge  0.0000  0.3665  0.8665  1 Ge 2.57, 6 Nb 2.60-2.72, 2 Ta 2.66
Ge  0.0000  0.8665  0.6335  1 Ge 2.57, 6 Nb 2.60-2.72, 2 Ta 2.66
Ge  0.0000  0.6335  0.1335  1 Ge 2.57, 6 Nb 2.60-2.72, 2 Ta 2.66
Ge  0.0000  0.1335  0.3665  1 Ge 2.57, 6 Nb 2.60-2.72, 2 Ta 2.66
Ta  0.0000  0.0000  0.0000  4 Ge 2.66
Ta  0.0000  0.5000  0.5000  4 Ge 2.66